# GGA-PBE TeMoBrN2, optimized geometry
data_TeMoBrN2
_space_group_name_H-M_alt 'P 1'
_space_group_IT_number 1
_cell_length_a 3.993
_cell_length_b 3.993
_cell_length_c 5.756
_cell_angle_alpha 90.00
_cell_angle_beta 90.00
_cell_angle_gamma 90.00
loop_
_space_group_symop_operation_xyz
'x,y,z'
loop_
_atom_site_label
_atom_site_type_symbol
_atom_site_fract_x
_atom_site_fract_y
_atom_site_fract_z
Te1 Te 0.000 0.000 0.000
Mo1 Mo 0.000 0.000 0.500
Br1 Br 0.500 0.500 0.000
N1 N 0.000 0.500 0.500
N2 N 0.500 0.000 0.500
# **E**: -5.9160 eV per atom
# **Formation energy without anion corrections**: 262 kJ/mol of formula units
# **Relative energy among the computed polymorphs**: 0 meV per atom